Computed, not measured: a relaxed Sr5Li2Pd5 crystal at the GGA-PBE level of DFT.

Space group   C2/m (12)
Raw total energy   -3.646 eV per atom
ΔH_f (0 K)   -44.6 kJ per mole of atoms

Lattice parameters (Å, degrees): 4.2535 8.1952 9.4439 87.55 76.99 74.96
With the nearest neighbours (Å) after each atom.
Positions (direct):
Pd  0.9319  0.3044  0.8318  2 Li 2.59, 1 Pd 2.89
Pd  0.7107  0.2284  0.3502  1 Li 2.60
Pd  0.0000  0.0000  0.0000  2 Pd 2.89, 4 Sr 3.14
Pd  0.0681  0.6956  0.1682  2 Li 2.59, 1 Pd 2.89
Pd  0.2893  0.7716  0.6498  1 Li 2.60
Sr  0.0000  0.5000  0.5000  4 Li 3.24, 6 Pd 3.31-3.45
Sr  0.3743  0.9270  0.3244  5 Pd 3.14-3.26, 1 Li 3.25
Sr  0.6257  0.0730  0.6756  5 Pd 3.14-3.26, 1 Li 3.25
Sr  0.6790  0.7226  0.9195  7 Pd 3.13-3.39, 3 Li 3.22-3.32
Sr  0.3210  0.2774  0.0805  7 Pd 3.13-3.39, 3 Li 3.22-3.32
Li  0.6184  0.5272  0.2360  3 Pd 2.59-2.60
Li  0.3816  0.4728  0.7640  3 Pd 2.59-2.60